Density functional theory data (PBE) for crystalline BeMoPd3 at its relaxed geometry.

Properties
- calculated formation energy (meV per atom) = 1484
- polymorph energy (0 for the lowest one) (meV per atom) = 1222
- space group = Pm-3m (221)
- E (eV per atom) = -4.5436
- crystal system = cubic

a = 4.776 Å, b = 4.776 Å, c = 4.776 Å
α = 90.00°, β = 90.00°, γ = 90.00°
Fractional coordinates of all 5 atoms:
Be1 0.500 0.500 0.500
Mo1 0.000 0.000 0.000
Pd1 0.000 0.500 0.000
Pd2 0.000 0.000 0.500
Pd3 0.500 0.000 0.000


Density functional theory data (PBE) for crystalline PmNdSmHg at its relaxed geometry.

Properties
- calculated formation energy (meV per atom) = -231
- polymorph energy (0 for the lowest one) (meV per atom) = 0
- space group = P4mm (99)
- E (eV per atom) = -3.8658
- crystal system = tetragonal

a = 3.719 Å, b = 3.719 Å, c = 9.012 Å
α = 90.00°, β = 90.00°, γ = 90.00°
Fractional coordinates of all 4 atoms:
Pm1 0.500 0.500 0.352
Nd1 0.000 0.000 0.070
Sm1 0.500 0.500 0.790
Hg1 0.000 0.000 0.573


Density functional theory data (PBE) for crystalline YCd2I at its relaxed geometry.

Properties
- polymorph energy (0 for the lowest one) (meV per atom) = 0
- formation energy (no corrections) (kJ/mol of formula units) = -55
- space group = I-42d (122)
- E (eV per atom) = -2.6040
- crystal system = tetragonal

a = 8.956 Å, b = 8.956 Å, c = 7.036 Å
α = 50.47°, β = 50.47°, γ = 90.00°
Fractional coordinates of all 8 atoms:
I1 0.000 0.000 0.000
I2 0.750 0.250 0.500
Y1 0.500 0.500 0.000
Y2 0.250 0.750 0.500
Cd1 0.611 0.125 0.250
Cd2 0.139 0.625 0.250
Cd3 0.375 0.389 0.750
Cd4 0.875 0.861 0.750


Density functional theory data (PBE) for crystalline K3Pm3SbTe8 at its relaxed geometry.

Properties
- formation energy (no corrections) (kJ/mol of formula units) = -1598
- space group = C2/m (12)
- E (eV per atom) = -4.2244
- crystal system = monoclinic

a = 9.020 Å, b = 9.035 Å, c = 9.933 Å
α = 117.13°, β = 89.99°, γ = 119.96°
Fractional coordinates of all 15 atoms:
K1 0.000 0.000 0.000
K2 0.000 0.500 0.000
K3 0.500 0.500 0.000
Pm1 0.500 0.000 0.500
Pm2 0.500 0.500 0.500
Pm3 0.000 0.500 0.500
Sb1 0.000 0.000 0.500
Te1 0.262 0.524 0.286
Te2 0.738 0.476 0.714
Te3 0.769 0.539 0.294
Te4 0.231 0.461 0.706
Te5 0.769 0.024 0.294
Te6 0.231 0.976 0.706
Te7 0.255 0.024 0.294
Te8 0.745 0.976 0.706


Density functional theory data (PBE) for crystalline Li2Cl at its relaxed geometry.

Properties
- polymorph energy (0 for the lowest one) (meV per atom) = 28
- formation energy (no corrections) (kJ/mol of formula units) = -300
- space group = Pnma (62)
- E (eV per atom) = -2.9292
- crystal system = orthorhombic

a = 3.509 Å, b = 6.295 Å, c = 11.055 Å
α = 90.00°, β = 90.00°, γ = 90.00°
Fractional coordinates of all 12 atoms:
Li1 0.250 0.238 0.681
Li2 0.750 0.262 0.181
Li3 0.250 0.738 0.819
Li4 0.750 0.762 0.319
Li5 0.250 0.128 0.409
Li6 0.750 0.372 0.909
Li7 0.250 0.628 0.091
Li8 0.750 0.872 0.591
Cl1 0.250 0.470 0.304
Cl2 0.750 0.030 0.804
Cl3 0.250 0.970 0.196
Cl4 0.750 0.530 0.696


Density functional theory data (PBE) for crystalline K2NiOs at its relaxed geometry.

Properties
- calculated formation energy (meV per atom) = 1030
- polymorph energy (0 for the lowest one) (meV per atom) = 335
- space group = Imm2 (44)
- E (eV per atom) = -3.7717
- crystal system = orthorhombic

a = 6.036 Å, b = 6.036 Å, c = 6.036 Å
α = 140.61°, β = 123.85°, γ = 70.74°
Fractional coordinates of all 4 atoms:
K1 0.025 0.025 0.000
K2 0.719 0.219 0.500
Ni1 0.427 0.427 0.000
Os1 0.329 0.829 0.500


Density functional theory data (PBE) for crystalline Pr6HgRu2I3 at its relaxed geometry.

Properties
- formation energy (no corrections) (kJ/mol of formula units) = -794
- space group = C2/m (12)
- E (eV per atom) = -5.0341
- crystal system = monoclinic

a = 7.433 Å, b = 7.433 Å, c = 8.599 Å
α = 98.27°, β = 98.27°, γ = 119.94°
Fractional coordinates of all 12 atoms:
Pr1 0.936 0.570 0.808
Pr2 0.698 0.698 0.190
Pr3 0.064 0.430 0.192
Pr4 0.570 0.936 0.808
Pr5 0.302 0.302 0.810
Pr6 0.430 0.064 0.192
Hg1 0.000 0.000 0.000
Ru1 0.333 0.667 0.000
Ru2 0.667 0.333 0.000
I1 0.163 0.837 0.500
I2 0.837 0.163 0.500
I3 0.500 0.500 0.500


Density functional theory data (PBE) for crystalline Li3Tc2 at its relaxed geometry.

Properties
- calculated formation energy (meV per atom) = 423
- polymorph energy (0 for the lowest one) (meV per atom) = 110
- space group = Fdd2 (43)
- E (eV per atom) = -4.8713
- crystal system = orthorhombic

a = 8.167 Å, b = 6.978 Å, c = 5.213 Å
α = 82.76°, β = 57.96°, γ = 39.29°
Fractional coordinates of all 10 atoms:
Li1 0.693 0.493 0.307
Li2 0.507 0.307 0.493
Li3 0.757 0.557 0.743
Li4 0.943 0.743 0.557
Li5 0.100 0.900 0.900
Li6 0.350 0.150 0.150
Tc1 0.145 0.944 0.355
Tc2 0.555 0.355 0.944
Tc3 0.306 0.105 0.695
Tc4 0.895 0.695 0.105